Material: Ba3V2HgO8
Method: DFT, GGA+U
State: optimized geometry

Space-group type = P-3m1, No. 164
N(E_F) = 0.00 states/eV/f.u.
Total moment = 0.00 μB/f.u.
E_tot = -6.62 eV/atom

a = 5.8203 Å, b = 5.8203 Å, c = 9.9750 Å
α = 90.00°, β = 90.00°, γ = 120.00°
Positions (direct):
Ba: 0.0000 0.0000 0.0000
Ba: 0.3333 0.6667 0.7336
Ba: 0.6667 0.3333 0.2664
V: 0.3333 0.6667 0.1589
V: 0.6667 0.3333 0.8411
Hg: 0.0000 0.0000 0.5000
O: 0.1725 0.3449 0.2204
O: 0.1725 0.8275 0.2204
O: 0.3333 0.6667 0.9830
O: 0.3449 0.1725 0.7796
O: 0.6551 0.8275 0.2204
O: 0.6667 0.3333 0.0170
O: 0.8275 0.1725 0.7796
O: 0.8275 0.6551 0.7796